Entry P
First-principles (GGA-PBE) data for crystalline KZr3Sn at its relaxed geometry, as listed in Alexandria via LeMat-Bulk.

POSCAR file:
```
KZr3Sn
1.0
4.965 0.000 0.000
0.000 4.965 0.000
0.000 0.000 4.965
K Zr Sn
1 3 1
direct
0.000 0.000 0.000 K
0.000 0.000 0.500 Zr
0.000 0.500 0.000 Zr
0.500 0.000 0.000 Zr
0.500 0.500 0.500 Sn
```

Summary:
Its symmetry is Pm-3m (221). The theoretical density comes out at 5.85 g/cm3.

Entry Q
First-principles (GGA-PBE) data for crystalline KZr3Sn at its relaxed geometry, as listed in Alexandria via LeMat-Bulk.

POSCAR file:
```
KZr3Sn
1.0
5.511 0.000 0.000
0.000 5.511 0.000
0.000 0.000 5.511
K Zr Sn
1 3 1
direct
0.000 0.000 0.000 K
0.000 0.500 0.500 Zr
0.500 0.000 0.500 Zr
0.500 0.500 0.000 Zr
0.500 0.500 0.500 Sn
```

Summary:
Its symmetry is Pm-3m (221). The theoretical density comes out at 4.28 g/cm3.

Stability check: which of them is most stable? entry Q.

Entry P
First-principles (GGA-PBE) data for crystalline KZrSn2 at its relaxed geometry, as listed in Alexandria via LeMat-Bulk.

POSCAR file:
```
KZrSn2
1.0
-2.997 2.997 9.402
2.997 -2.997 9.402
2.997 2.997 -9.402
K Zr Sn
2 2 4
direct
0.000 0.000 0.000 K
0.750 0.250 0.500 K
0.250 0.750 0.500 Zr
0.500 0.500 0.000 Zr
0.280 0.625 0.155 Sn
0.375 0.530 0.655 Sn
0.470 0.125 0.845 Sn
0.875 0.720 0.345 Sn
```

Summary:
Its symmetry is I-42d (122). The theoretical density comes out at 3.62 g/cm3.

Entry Q
First-principles (GGA-PBE) data for crystalline KZrSn2 at its relaxed geometry, as listed in Alexandria via LeMat-Bulk.

POSCAR file:
```
KZrSn2
1.0
3.848 0.000 0.000
0.000 3.848 0.000
0.000 0.000 7.982
K Zr Sn
1 1 2
direct
0.000 0.000 0.000 K
0.000 0.000 0.500 Zr
0.500 0.500 0.316 Sn
0.500 0.500 0.684 Sn
```

Summary:
Its symmetry is P4/mmm (123). The theoretical density comes out at 5.17 g/cm3.

Entry R
First-principles (GGA-PBE) data for crystalline KZrSn2 at its relaxed geometry, as listed in Alexandria via LeMat-Bulk.

POSCAR file:
```
KZrSn2
1.0
0.000 3.772 3.772
3.772 0.000 3.772
3.772 3.772 0.000
K Zr Sn
1 1 2
direct
0.000 0.000 0.000 K
0.500 0.500 0.500 Zr
0.250 0.250 0.250 Sn
0.750 0.750 0.750 Sn
```

Summary:
Its symmetry is Fm-3m (225). The theoretical density comes out at 5.69 g/cm3.

Stability check: which of them is most stable? entry Q.

Entry P
First-principles (GGA-PBE) data for crystalline K4Sr at its relaxed geometry, as listed in Alexandria via LeMat-Bulk.

POSCAR file:
```
K4Sr
1.0
7.868 0.000 0.000
0.000 7.868 0.000
0.000 0.000 7.868
K Sr
4 1
direct
0.000 0.000 0.000 K
0.000 0.500 0.500 K
0.500 0.000 0.500 K
0.500 0.500 0.000 K
0.500 0.500 0.500 Sr
```

Summary:
Its symmetry is Pm-3m (221). The theoretical density comes out at 0.83 g/cm3.

Entry Q
First-principles (GGA-PBE) data for crystalline K4Sr at its relaxed geometry, as listed in Alexandria via LeMat-Bulk.

POSCAR file:
```
K4Sr
1.0
0.000 3.652 18.871
2.431 0.000 18.871
2.431 3.652 0.000
K Sr
4 1
direct
0.097 0.097 0.903 K
0.301 0.301 0.699 K
0.699 0.699 0.301 K
0.903 0.903 0.097 K
0.500 0.500 0.500 Sr
```

Summary:
Its symmetry is Fmmm (69). The theoretical density comes out at 1.21 g/cm3.

Entry R
First-principles (GGA-PBE) data for crystalline K4Sr at its relaxed geometry, as listed in Alexandria via LeMat-Bulk.

POSCAR file:
```
K4Sr
1.0
-4.887 4.887 4.887
4.887 -4.887 4.887
4.887 4.887 -4.887
K Sr
4 1
direct
0.000 0.000 0.500 K
0.000 0.500 0.000 K
0.500 0.000 0.000 K
0.500 0.500 0.500 K
0.000 0.000 0.000 Sr
```

Summary:
Its symmetry is Im-3m (229). The theoretical density comes out at 0.87 g/cm3.

Entry S
First-principles (GGA-PBE) data for crystalline K4Sr at its relaxed geometry, as listed in Alexandria via LeMat-Bulk.

POSCAR file:
```
K4Sr
1.0
-5.266 5.266 3.089
5.266 -5.266 3.089
5.266 5.266 -3.089
K Sr
4 1
direct
0.101 0.298 0.399 K
0.298 0.899 0.197 K
0.702 0.101 0.803 K
0.899 0.702 0.601 K
0.500 0.500 0.000 Sr
```

Summary:
Its symmetry is I4/m (87). The theoretical density comes out at 1.18 g/cm3.

Stability check: which of them is most stable? entry Q.

Entry P
First-principles (GGA-PBE) data for crystalline K2Sr3 at its relaxed geometry, as listed in Alexandria via LeMat-Bulk.

POSCAR file:
```
K2Sr3
1.0
6.841 0.000 0.000
-3.420 5.924 0.000
0.000 0.000 8.409
K Sr
2 3
direct
0.333 0.667 0.349 K
0.667 0.333 0.651 K
0.000 0.000 0.500 Sr
0.333 0.667 0.854 Sr
0.667 0.333 0.146 Sr
```

Summary:
Its symmetry is P-3m1 (164). The theoretical density comes out at 1.66 g/cm3.

Entry Q
First-principles (GGA-PBE) data for crystalline K2Sr3 at its relaxed geometry, as listed in Alexandria via LeMat-Bulk.

POSCAR file:
```
K2Sr3
1.0
2.169 1.253 18.440
-2.169 1.253 18.440
0.000 -2.505 18.440
K Sr
2 3
direct
0.203 0.203 0.203 K
0.797 0.797 0.797 K
0.000 0.000 0.000 Sr
0.396 0.396 0.396 Sr
0.604 0.604 0.604 Sr
```

Summary:
Its symmetry is R-3m (166). The theoretical density comes out at 1.88 g/cm3.

Stability check: which of them is most stable? entry Q.

Entry P
First-principles (GGA-PBE) data for crystalline KSr5 at its relaxed geometry, as listed in Alexandria via LeMat-Bulk.

POSCAR file:
```
KSr5
1.0
8.020 -2.137 0.000
8.020 2.137 0.000
-2.672 0.000 10.001
K Sr
1 5
direct
0.000 0.000 0.000 K
0.058 0.058 0.612 Sr
0.330 0.330 0.660 Sr
0.389 0.389 0.287 Sr
0.669 0.669 0.337 Sr
0.726 0.726 0.947 Sr
```

Summary:
Its symmetry is Cm (8). The theoretical density comes out at 2.31 g/cm3.

Entry Q
First-principles (GGA-PBE) data for crystalline KSr5 at its relaxed geometry, as listed in Alexandria via LeMat-Bulk.

POSCAR file:
```
KSr5
1.0
0.000 5.667 5.667
5.667 0.000 5.667
5.667 5.667 0.000
K Sr
1 5
direct
0.000 0.000 0.000 K
0.375 0.375 0.375 Sr
0.375 0.375 0.874 Sr
0.375 0.874 0.375 Sr
0.750 0.750 0.750 Sr
0.874 0.375 0.375 Sr
```

Summary:
Its symmetry is F-43m (216). The theoretical density comes out at 2.18 g/cm3.

Entry R
First-principles (GGA-PBE) data for crystalline KSr5 at its relaxed geometry, as listed in Alexandria via LeMat-Bulk.

POSCAR file:
```
KSr5
1.0
3.457 -10.383 0.000
3.457 10.383 0.000
0.000 0.000 4.707
K Sr
1 5
direct
0.000 0.000 0.000 K
0.168 0.832 0.500 Sr
0.330 0.670 0.000 Sr
0.500 0.500 0.500 Sr
0.670 0.330 0.000 Sr
0.832 0.168 0.500 Sr
```

Summary:
Its symmetry is Cmmm (65). The theoretical density comes out at 2.35 g/cm3.

Stability check: which of them is most stable? entry P.

Entry P
First-principles (GGA-PBE) data for crystalline KSr5 at its relaxed geometry, as listed in Alexandria via LeMat-Bulk.

POSCAR file:
```
KSr5
1.0
4.243 0.000 0.000
0.000 4.243 0.000
0.000 0.000 18.998
K Sr
1 5
direct
0.000 0.000 0.000 K
0.000 0.000 0.340 Sr
0.000 0.000 0.660 Sr
0.500 0.500 0.181 Sr
0.500 0.500 0.500 Sr
0.500 0.500 0.819 Sr
```

Summary:
Its symmetry is P4/mmm (123). The theoretical density comes out at 2.32 g/cm3.

Entry Q
First-principles (GGA-PBE) data for crystalline KSr5 at its relaxed geometry, as listed in Alexandria via LeMat-Bulk.

POSCAR file:
```
KSr5
1.0
7.075 0.000 0.000
0.000 2.148 11.281
0.000 -2.148 11.281
K Sr
1 5
direct
0.000 0.000 0.000 K
0.000 0.331 0.331 Sr
0.000 0.670 0.670 Sr
0.500 0.223 0.223 Sr
0.500 0.559 0.559 Sr
0.500 0.887 0.887 Sr
```

Summary:
Its symmetry is Amm2 (38). The theoretical density comes out at 2.31 g/cm3.

Stability check: which of them is most stable? entry P.